Entry from Alexandria: CeMg6Cd after structural relaxation (PBE).

Values from the calculation:
**N(E_F)**: 10.5 states/eV/f.u.
**SG**: Amm2 (38)
**VASP energy**: -16.24 eV per cell

abc: 5.081 6.872 6.872
angles: 55.22 90.00 90.00
Sites, in units of the cell vectors:
Ce 0.000 0.000 0.000
Mg 0.000 0.498 0.988
Mg 0.000 0.988 0.498
Mg 0.500 0.132 0.644
Mg 0.500 0.161 0.161
Mg 0.500 0.620 0.620
Mg 0.500 0.644 0.132
Cd 0.000 0.458 0.458

Entry from Alexandria: ErTm2Ni after structural relaxation (PBE).

Values from the calculation:
**N(E_F)**: 5.2 states/eV/f.u.
**SG**: P4/mmm (123)
**VASP energy**: -20.06 eV per cell

abc: 3.392 3.392 8.515
angles: 90.00 90.00 90.00
Sites, in units of the cell vectors:
Er 0.000 0.000 0.000
Tm 0.500 0.500 0.312
Tm 0.500 0.500 0.688
Ni 0.000 0.000 0.500

Entry from Alexandria: Ag2PRu after structural relaxation (PBE).

Values from the calculation:
**N(E_F)**: 2.4 states/eV/f.u.
**SG**: R3m (160)
**VASP energy**: -20.28 eV per cell

abc: 8.751 8.751 8.751
angles: 19.64 19.64 19.64
Sites, in units of the cell vectors:
Ag 0.000 0.000 0.000
Ag 0.242 0.242 0.242
P 0.759 0.759 0.759
Ru 0.484 0.484 0.484

Entry from Alexandria: Sr2AlCO3F5 after structural relaxation (PBE).

Values from the calculation:
**N(E_F)**: 0.0 states/eV/f.u.
**Uncorrected formation energy**: -3.113 eV/atom
**SG**: P2_1/c (14)

abc: 5.336 9.839 12.751
angles: 90.00 92.39 90.00
Sites, in units of the cell vectors:
Sr 0.204 0.051 0.330
Sr 0.204 0.449 0.830
Sr 0.235 0.668 0.511
Sr 0.235 0.832 0.011
Sr 0.765 0.168 0.989
Sr 0.765 0.332 0.489
Sr 0.796 0.551 0.170
Sr 0.796 0.949 0.670
Al 0.275 0.087 0.823
Al 0.275 0.413 0.323
Al 0.725 0.587 0.677
Al 0.725 0.913 0.177
C 0.293 0.119 0.586
C 0.293 0.381 0.086
C 0.707 0.619 0.914
C 0.707 0.881 0.414
O 0.116 0.141 0.517
O 0.116 0.359 0.017
O 0.230 0.066 0.677
O 0.230 0.434 0.177
O 0.472 0.636 0.930
O 0.472 0.864 0.430
O 0.528 0.136 0.570
O 0.528 0.364 0.070
O 0.770 0.566 0.823
O 0.770 0.934 0.323
O 0.884 0.641 0.983
O 0.884 0.859 0.483
F 0.002 0.696 0.676
F 0.002 0.804 0.176
F 0.087 0.569 0.332
F 0.087 0.931 0.832
F 0.275 0.083 0.969
F 0.275 0.417 0.469
F 0.435 0.007 0.170
F 0.435 0.493 0.670
F 0.464 0.242 0.831
F 0.464 0.258 0.331
F 0.536 0.742 0.669
F 0.536 0.758 0.169
F 0.565 0.507 0.330
F 0.565 0.993 0.830
F 0.725 0.583 0.531
F 0.725 0.917 0.031
F 0.913 0.069 0.168
F 0.913 0.431 0.668
F 0.998 0.196 0.824
F 0.998 0.304 0.324

Entry from Alexandria: NaSr2La2 after structural relaxation (PBE).

Values from the calculation:
**N(E_F)**: 10.0 states/eV/f.u.
**SG**: I4/mmm (139)
**VASP energy**: -11.94 eV per cell

abc: 10.131 10.131 10.131
angles: 151.80 151.80 40.31
Sites, in units of the cell vectors:
Na 0.000 0.000 0.000
Sr 0.250 0.750 0.500
Sr 0.750 0.250 0.500
La 0.418 0.418 0.000
La 0.582 0.582 0.000

Entry from Alexandria: Er2MnCo5B2 after structural relaxation (PBE).

Values from the calculation:
**N(E_F)**: 6.5 states/eV/f.u.
**SG**: P4/mbm (127)
**VASP energy**: -140.69 eV per cell

abc: 8.995 8.995 3.017
angles: 90.00 90.00 90.00
Sites, in units of the cell vectors:
Er 0.178 0.322 0.000
Er 0.322 0.822 0.000
Er 0.678 0.178 0.000
Er 0.822 0.678 0.000
Mn 0.000 0.000 0.000
Mn 0.500 0.500 0.000
Co 0.000 0.500 0.500
Co 0.067 0.774 0.500
Co 0.226 0.067 0.500
Co 0.274 0.567 0.500
Co 0.433 0.274 0.500
Co 0.500 0.000 0.500
Co 0.567 0.726 0.500
Co 0.726 0.433 0.500
Co 0.774 0.933 0.500
Co 0.933 0.226 0.500
B 0.118 0.618 0.000
B 0.382 0.118 0.000
B 0.618 0.882 0.000
B 0.882 0.382 0.000

Ρ, respectively: 3.36 9.55 8.73 3.55 3.41 9.60 g/cm3.